[1]
# NaB9Se8 | Alexandria via LeMat-Bulk | GGA-PBE | relaxed
data_NaB9Se8
_chemical_formula_sum 'Na6 B54 Se48'
_cell_length_a 17.249
_cell_length_b 17.249
_cell_length_c 9.613
_cell_angle_alpha 90.00
_cell_angle_beta 90.00
_cell_angle_gamma 120.00
_symmetry_space_group_name_H-M 'P 1'
_symmetry_Int_Tables_number 1
_symmetry_space_group_name_Hall 'P 1'
loop_
_atom_site_label
_atom_site_type_symbol
_atom_site_fract_x
_atom_site_fract_y
_atom_site_fract_z
Na1 Na 0.152 0.816 0.177
Na2 Na 0.184 0.336 0.177
Na3 Na 0.336 0.152 0.823
Na4 Na 0.664 0.848 0.177
Na5 Na 0.816 0.664 0.823
Na6 Na 0.848 0.184 0.823
B1 B 0.014 0.065 0.141
B2 B 0.024 0.105 0.966
B3 B 0.051 0.986 0.141
B4 B 0.065 0.051 0.859
B5 B 0.081 0.976 0.966
B6 B 0.094 0.859 0.759
B7 B 0.104 0.528 0.303
B8 B 0.105 0.081 0.034
B9 B 0.141 0.235 0.759
B10 B 0.202 0.762 0.788
B11 B 0.235 0.094 0.241
B12 B 0.235 0.573 0.079
B13 B 0.238 0.440 0.788
B14 B 0.240 0.671 0.012
B15 B 0.273 0.608 0.905
B16 B 0.274 0.668 0.186
B17 B 0.329 0.568 0.012
B18 B 0.332 0.606 0.186
B19 B 0.336 0.727 0.905
B20 B 0.337 0.765 0.079
B21 B 0.392 0.664 0.905
B22 B 0.394 0.726 0.186
B23 B 0.424 0.896 0.303
B24 B 0.427 0.663 0.079
B25 B 0.432 0.760 0.012
B26 B 0.440 0.202 0.212
B27 B 0.472 0.576 0.303
B28 B 0.528 0.424 0.697
B29 B 0.560 0.798 0.788
B30 B 0.568 0.240 0.988
B31 B 0.573 0.337 0.921
B32 B 0.576 0.104 0.697
B33 B 0.606 0.274 0.814
B34 B 0.608 0.336 0.095
B35 B 0.663 0.235 0.921
B36 B 0.664 0.273 0.095
B37 B 0.668 0.394 0.814
B38 B 0.671 0.432 0.988
B39 B 0.726 0.332 0.814
B40 B 0.727 0.392 0.095
B41 B 0.760 0.329 0.988
B42 B 0.762 0.560 0.212
B43 B 0.765 0.427 0.921
B44 B 0.765 0.906 0.759
B45 B 0.798 0.238 0.212
B46 B 0.859 0.765 0.241
B47 B 0.895 0.919 0.966
B48 B 0.896 0.472 0.697
B49 B 0.906 0.141 0.241
B50 B 0.919 0.024 0.034
B51 B 0.935 0.949 0.141
B52 B 0.949 0.014 0.859
B53 B 0.976 0.895 0.034
B54 B 0.986 0.935 0.859
Se1 Se 0.000 0.449 0.415
Se2 Se 0.000 0.551 0.585
Se3 Se 0.019 0.146 0.295
Se4 Se 0.062 0.232 0.911
Se5 Se 0.117 0.468 0.137
Se6 Se 0.128 0.981 0.295
Se7 Se 0.134 0.792 0.647
Se8 Se 0.136 0.686 0.948
Se9 Se 0.146 0.128 0.705
Se10 Se 0.170 0.938 0.911
Se11 Se 0.190 0.655 0.344
Se12 Se 0.205 0.529 0.743
Se13 Se 0.208 0.343 0.647
Se14 Se 0.232 0.170 0.089
Se15 Se 0.314 0.450 0.948
Se16 Se 0.323 0.795 0.743
Se17 Se 0.343 0.134 0.353
Se18 Se 0.345 0.536 0.344
Se19 Se 0.351 0.883 0.137
Se20 Se 0.449 0.000 0.415
Se21 Se 0.449 0.449 0.585
Se22 Se 0.450 0.136 0.052
Se23 Se 0.464 0.810 0.344
Se24 Se 0.468 0.351 0.863
Se25 Se 0.471 0.677 0.743
Se26 Se 0.529 0.323 0.257
Se27 Se 0.532 0.649 0.137
Se28 Se 0.536 0.190 0.656
Se29 Se 0.550 0.864 0.948
Se30 Se 0.551 0.000 0.585
Se31 Se 0.551 0.551 0.415
Se32 Se 0.649 0.117 0.863
Se33 Se 0.655 0.464 0.656
Se34 Se 0.657 0.866 0.647
Se35 Se 0.677 0.205 0.257
Se36 Se 0.686 0.550 0.052
Se37 Se 0.768 0.830 0.911
Se38 Se 0.792 0.657 0.353
Se39 Se 0.795 0.471 0.257
Se40 Se 0.810 0.345 0.656
Se41 Se 0.830 0.062 0.089
Se42 Se 0.854 0.872 0.295
Se43 Se 0.864 0.314 0.052
Se44 Se 0.866 0.208 0.353
Se45 Se 0.872 0.019 0.705
Se46 Se 0.883 0.532 0.863
Se47 Se 0.938 0.768 0.089
Se48 Se 0.981 0.854 0.705
# Volume: 22.9 A^3/atom
# Uncorrected formation energy: -0.317 eV/atom
# DOS at the Fermi energy: 0.00 states/eV/cell
# Electronic total energy: -0.388 Ry/atom

[2]
# Na2BSe3 | Alexandria via LeMat-Bulk | GGA-PBE | relaxed
data_Na2BSe3
_chemical_formula_sum 'Na4 B2 Se6'
_cell_length_a 7.357
_cell_length_b 7.357
_cell_length_c 6.315
_cell_angle_alpha 101.95
_cell_angle_beta 101.95
_cell_angle_gamma 64.56
_symmetry_space_group_name_H-M 'P 1'
_symmetry_Int_Tables_number 1
_symmetry_space_group_name_Hall 'P 1'
loop_
_atom_site_label
_atom_site_type_symbol
_atom_site_fract_x
_atom_site_fract_y
_atom_site_fract_z
Na1 Na 0.009 0.686 0.821
Na2 Na 0.314 0.991 0.679
Na3 Na 0.686 0.009 0.321
Na4 Na 0.991 0.314 0.179
B1 B 0.368 0.632 0.250
B2 B 0.632 0.368 0.750
Se1 Se 0.121 0.879 0.250
Se2 Se 0.358 0.362 0.141
Se3 Se 0.362 0.358 0.641
Se4 Se 0.638 0.642 0.359
Se5 Se 0.642 0.638 0.859
Se6 Se 0.879 0.121 0.750
# Volume: 24.9 A^3/atom
# Uncorrected formation energy: -0.542 eV/atom
# DOS at the Fermi energy: 1.68 states/eV/cell
# Relative energy among the computed polymorphs: 0.030 eV per atom
# Electronic total energy: -0.282 Ry/atom

[3]
# NaBSe2 | Alexandria via LeMat-Bulk | GGA-PBE | relaxed
data_NaBSe2
_chemical_formula_sum 'Na4 B4 Se8'
_cell_length_a 5.946
_cell_length_b 9.142
_cell_length_c 5.979
_cell_angle_alpha 90.00
_cell_angle_beta 90.00
_cell_angle_gamma 90.00
_symmetry_space_group_name_H-M 'P 1'
_symmetry_Int_Tables_number 1
_symmetry_space_group_name_Hall 'P 1'
loop_
_atom_site_label
_atom_site_type_symbol
_atom_site_fract_x
_atom_site_fract_y
_atom_site_fract_z
Na1 Na 0.013 0.119 0.000
Na2 Na 0.487 0.619 0.500
Na3 Na 0.513 0.381 0.000
Na4 Na 0.987 0.881 0.500
B1 B 0.042 0.625 0.950
B2 B 0.458 0.125 0.450
B3 B 0.542 0.875 0.950
B4 B 0.958 0.375 0.450
Se1 Se 0.003 0.579 0.605
Se2 Se 0.121 0.180 0.531
Se3 Se 0.379 0.680 0.031
Se4 Se 0.497 0.079 0.105
Se5 Se 0.503 0.921 0.605
Se6 Se 0.621 0.320 0.531
Se7 Se 0.879 0.820 0.031
Se8 Se 0.997 0.421 0.105
# Volume: 20.3 A^3/atom
# Uncorrected formation energy: -0.468 eV/atom
# DOS at the Fermi energy: 0.00 states/eV/cell
# Electronic total energy: -0.309 Ry/atom

[4]
# Na4BSe4 | Alexandria via LeMat-Bulk | GGA-PBE | relaxed
data_Na4BSe4
_chemical_formula_sum 'Na8 B2 Se8'
_cell_length_a 8.148
_cell_length_b 8.148
_cell_length_c 6.346
_cell_angle_alpha 90.00
_cell_angle_beta 90.00
_cell_angle_gamma 90.00
_symmetry_space_group_name_H-M 'P 1'
_symmetry_Int_Tables_number 1
_symmetry_space_group_name_Hall 'P 1'
loop_
_atom_site_label
_atom_site_type_symbol
_atom_site_fract_x
_atom_site_fract_y
_atom_site_fract_z
Na1 Na 0.015 0.250 0.096
Na2 Na 0.250 0.015 0.596
Na3 Na 0.250 0.485 0.596
Na4 Na 0.485 0.250 0.096
Na5 Na 0.515 0.750 0.904
Na6 Na 0.750 0.515 0.404
Na7 Na 0.750 0.985 0.404
Na8 Na 0.985 0.750 0.904
B1 B 0.250 0.750 0.250
B2 B 0.750 0.250 0.750
Se1 Se 0.034 0.750 0.429
Se2 Se 0.250 0.534 0.071
Se3 Se 0.250 0.966 0.071
Se4 Se 0.466 0.750 0.429
Se5 Se 0.534 0.250 0.571
Se6 Se 0.750 0.034 0.929
Se7 Se 0.750 0.466 0.929
Se8 Se 0.966 0.250 0.571
# Volume: 23.4 A^3/atom
# Uncorrected formation energy: -0.715 eV/atom
# DOS at the Fermi energy: 13.62 states/eV/cell
# Electronic total energy: -0.264 Ry/atom

[5]
# NaBSe4 | Alexandria via LeMat-Bulk | GGA-PBE | relaxed
data_NaBSe4
_chemical_formula_sum 'Na2 B2 Se8'
_cell_length_a 9.729
_cell_length_b 9.729
_cell_length_c 4.345
_cell_angle_alpha 102.66
_cell_angle_beta 102.66
_cell_angle_gamma 77.25
_symmetry_space_group_name_H-M 'P 1'
_symmetry_Int_Tables_number 1
_symmetry_space_group_name_Hall 'P 1'
loop_
_atom_site_label
_atom_site_type_symbol
_atom_site_fract_x
_atom_site_fract_y
_atom_site_fract_z
Na1 Na 0.218 0.218 0.463
Na2 Na 0.782 0.782 0.537
B1 B 0.000 0.500 0.000
B2 B 0.500 0.000 0.000
Se1 Se 0.009 0.689 0.102
Se2 Se 0.311 0.991 0.898
Se3 Se 0.340 0.521 0.682
Se4 Se 0.479 0.660 0.318
Se5 Se 0.521 0.340 0.682
Se6 Se 0.660 0.479 0.318
Se7 Se 0.689 0.009 0.102
Se8 Se 0.991 0.311 0.898
# Volume: 32.1 A^3/atom
# Uncorrected formation energy: -0.248 eV/atom
# Relative energy among the computed polymorphs: 0.000 eV per atom
# Electronic total energy: -0.287 Ry/atom

[6]
# Na2BSe3 | Alexandria via LeMat-Bulk | GGA-PBE | relaxed
data_Na2BSe3
_chemical_formula_sum 'Na4 B2 Se6'
_cell_length_a 6.179
_cell_length_b 6.179
_cell_length_c 9.386
_cell_angle_alpha 114.03
_cell_angle_beta 114.03
_cell_angle_gamma 70.55
_symmetry_space_group_name_H-M 'P 1'
_symmetry_Int_Tables_number 1
_symmetry_space_group_name_Hall 'P 1'
loop_
_atom_site_label
_atom_site_type_symbol
_atom_site_fract_x
_atom_site_fract_y
_atom_site_fract_z
Na1 Na 0.118 0.635 0.870
Na2 Na 0.365 0.882 0.630
Na3 Na 0.635 0.118 0.370
Na4 Na 0.882 0.365 0.130
B1 B 0.358 0.642 0.250
B2 B 0.642 0.358 0.750
Se1 Se 0.085 0.915 0.250
Se2 Se 0.318 0.353 0.585
Se3 Se 0.353 0.318 0.085
Se4 Se 0.647 0.682 0.915
Se5 Se 0.682 0.647 0.415
Se6 Se 0.915 0.085 0.750
# Volume: 24.4 A^3/atom
# Uncorrected formation energy: -0.571 eV/atom
# DOS at the Fermi energy: 2.95 states/eV/cell
# Relative energy among the computed polymorphs: 0.000 eV per atom
# Electronic total energy: -0.284 Ry/atom